meta-GGA SCAN CdTcP3, single point on PBEsol structure; SG = Pm-3m (221); calculated formation energy = 0.54 eV/atom
1.0
-3.326 -2.439 -2.033
2.322 -3.876 0.853
-2.166 -0.409 4.035
Tc Cd P
1 1 3
Direct
0.000 0.000 0.000
0.500 0.500 0.500
0.000 0.500 0.000
0.000 0.000 0.500
0.500 0.000 0.000

meta-GGA SCAN TlHg2Au, single point on PBEsol structure; ΔE to the lowest computed polymorph = 70.9 meV/atom; SG = P4/mmm (123); calculated formation energy = 0.08 eV/atom
1.0
4.238 0.000 0.000
0.000 4.245 0.000
0.000 0.000 5.028
Au Tl Hg
1 1 2
Direct
0.000 0.500 0.500
0.500 0.000 0.500
0.000 0.000 0.000
0.500 0.500 0.000

meta-GGA SCAN Y2ReS2, single point on PBEsol structure; SG = I4/mmm (139); final energy = -30.0930 eV per atom
1.0
-4.477 -2.444 -1.435
4.595 -2.650 -0.037
0.906 -3.776 3.605
Y Re S
2 1 2
Direct
0.750 0.500 0.750
0.250 0.500 0.250
0.000 0.000 0.000
0.306 0.613 0.694
0.694 0.387 0.306

meta-GGA SCAN P2RhCl, single point on PBEsol structure; ΔE to the lowest computed polymorph = 0.0 meV/atom; SG = Pm (6)
1.0
-0.691 -0.892 -3.142
2.147 -3.778 0.601
-4.904 -1.555 1.520
P Rh Cl
2 1 1
Direct
0.500 0.645 0.155
0.000 0.971 0.207
0.000 0.470 0.379
0.500 0.414 0.759

meta-GGA SCAN Sc3Ag, single point on PBEsol structure; ΔE to the lowest computed polymorph = 78.5 meV/atom; SG = P6_3/mmc (194); calculated formation energy = -0.13 eV/atom
1.0
4.926 0.000 0.000
0.000 6.251 0.000
0.000 -3.125 5.413
Ag Sc
2 6
Direct
0.250 0.333 0.667
0.750 0.667 0.333
0.250 0.828 0.655
0.750 0.172 0.828
0.250 0.345 0.172
0.750 0.172 0.345
0.250 0.828 0.172
0.750 0.655 0.828

meta-GGA SCAN TeAsCl, single point on PBEsol structure; SG = F-43m (216); final energy = -21.7275 eV per atom
1.0
-2.824 3.382 -1.853
-4.541 -1.014 -1.096
-3.557 1.838 2.611
Cl Te As
1 1 1
Direct
0.000 0.000 0.000
0.500 0.500 0.500
0.750 0.750 0.750

| no. | magnetic moment (μB per cell) |
| --- | --- |
| 1 | 0.0 |
| 2 | 0.0 |
| 3 | 1.1 |
| 4 | 0.0 |
| 5 | 0.0 |
| 6 | 0.1 |